Ga3ReO | PBEsol | relaxed

Summary:
The calculated density is 6263 kg/m³. The electronic total energy comes out at -24.65 eV per formula unit. The calculation puts the formation energy without anion corrections at 791 meV/atom. Its space-group type is Pm-3m (221).

Cell: 4.7780 4.7780 4.7780 Å, 90.00 90.00 90.00°
With the nearest neighbours (Å) after each atom.
Fractional coordinates of all 5 atoms:
Re (0.0000, 0.0000, 0.0000)  6 Ga 2.39
O (0.5000, 0.5000, 0.5000)  12 Ga 3.38
Ga (0.0000, 0.5000, 0.0000)  2 Re 2.39
Ga (0.0000, 0.0000, 0.5000)  2 Re 2.39
Ga (0.5000, 0.0000, 0.0000)  2 Re 2.39